The following is a GGA+U calculation of Mn3TcF after structural relaxation, from Alexandria via LeMat-Bulk.

The structure in extended XYZ format:
```
5
Lattice="-0.163 -4.319 -0.522 4.332 -0.209 0.378 -0.400 -0.506 4.306" Properties=species:S:1:pos:R:3 pbc="T T T"
Mn 2.166 -0.105 0.189
Mn -0.200 -0.253 2.153
Mn -0.082 -2.160 -0.261
Tc 1.884 -2.517 2.081
F 0.000 0.000 0.000
```

Computed properties:
* theoretical density: 5.7 g/cm3
* calculated total energy: -33.807 eV per cell